1.
Material: Sm3Ga2Rh2
Method: DFT, PBE
State: optimized geometry

The space group is Pbcm, No. 57. The calculation puts the formation energy at -75.4 kJ/mol of atoms. The crystal system is orthorhombic. The value obtained for the uncorrected energy is -5.769 eV/atom.

```
Sm3Ga2Rh2
1.0
5.6213 0.0000 0.0000
0.0000 8.0045 0.0000
0.0000 0.0000 13.7762
Sm Ga Rh
12 8 8
Cartesian
0.7339 1.8939 3.4440
0.7339 2.1084 10.3321
1.9706 4.7915 1.3578
1.9706 4.7915 5.5302
1.9706 7.2152 8.2459
1.9706 7.2152 12.4183
3.6507 0.7893 1.3578
3.6507 0.7893 5.5302
3.6507 3.2130 8.2459
3.6507 3.2130 12.4183
4.8873 5.8961 3.4440
4.8873 6.1106 10.3321
0.7602 2.0011 0.0000
0.7602 2.0011 6.8881
2.0752 4.8974 10.3321
2.0752 7.1093 3.4440
3.5461 0.8951 10.3321
3.5461 3.1071 3.4440
4.8610 6.0033 0.0000
4.8610 6.0033 6.8881
0.8136 4.2688 8.1497
0.8136 4.2688 12.5146
0.8136 7.7379 1.2616
0.8136 7.7379 5.6265
4.8076 0.2665 8.1497
4.8076 0.2665 12.5146
4.8076 3.7357 1.2616
4.8076 3.7357 5.6265
```

---

2.
Material: ZnCrHg2
Method: DFT, PBE
State: optimized geometry

The space group is I-42d, No. 122. Its polymorph energy (0 for the lowest one) is 0.64 eV per formula unit. The calculation puts the formation energy at 43.4 kJ/mol of atoms. The crystal system is tetragonal. The value obtained for the uncorrected energy is -2.425 eV/atom.

```
ZnCrHg2
1.0
-2.1125 2.1125 9.7656
2.1125 -2.1125 9.7656
2.1125 2.1125 -9.7656
Zn Cr Hg
2 2 4
Cartesian
0.0000 0.0000 0.0000
0.0000 2.1125 4.8828
2.1125 0.0000 4.8828
0.0000 0.0000 9.7656
3.1688 1.0536 -2.4414
1.0536 1.0563 2.4414
-1.0563 1.0589 7.3242
1.0589 1.0563 12.2070
```

---

3.
Material: Sc2MnGaC
Method: DFT, PBE
State: optimized geometry

The space group is P4/mmm, No. 123. The calculation puts the formation energy at -48.4 kJ/mol of atoms. The crystal system is tetragonal. The value obtained for the uncorrected energy is -7.318 eV/atom.

```
Sc2MnGaC
1.0
4.5285 0.0000 0.0000
0.0000 4.5285 0.0000
0.0000 0.0000 3.7178
Sc Mn Ga C
2 1 1 1
Cartesian
0.0000 2.2642 0.0000
2.2642 0.0000 0.0000
0.0000 0.0000 1.8589
2.2642 2.2642 1.8589
0.0000 0.0000 0.0000
```

---

4.
Material: Al2AgSb
Method: DFT, PBE
State: optimized geometry

The space group is Pmmm, No. 47. The crystal system is orthorhombic. The uncorrected formation energy comes out at 0.1854 eV per atom. The value obtained for the uncorrected energy is -3.429 eV/atom.

```
Al2AgSb
1.0
4.2772 0.0000 0.0000
0.0000 4.2946 0.0000
0.0000 0.0000 4.4307
Al Ag Sb
2 1 1
Cartesian
0.0000 0.0000 0.0000
0.0000 2.1473 2.2154
2.1386 0.0000 2.2154
2.1386 2.1473 0.0000
```

---

5.
Material: PmYCo
Method: DFT, PBE
State: optimized geometry

The space group is F-43m, No. 216. Its polymorph energy (0 for the lowest one) is 0.37 eV per formula unit. The calculation puts the formation energy at 0.8 kJ/mol of atoms. The crystal system is cubic. The value obtained for the uncorrected energy is -6.099 eV/atom.

```
PmYCo
1.0
0.0000 3.3631 3.3631
3.3631 0.0000 3.3631
3.3631 3.3631 0.0000
Pm Y Co
1 1 1
Cartesian
0.0000 0.0000 0.0000
3.3631 3.3631 3.3631
1.6816 1.6816 1.6816
```

---

6.
Material: CeEuZnSi
Method: DFT, PBE
State: optimized geometry

The space group is F-43m, No. 216. The crystal system is cubic. The uncorrected formation energy comes out at -0.3296 eV per atom. The value obtained for the uncorrected energy is -6.056 eV/atom.

```
CeEuZnSi
1.0
0.0000 3.6435 3.6435
3.6435 0.0000 3.6435
3.6435 3.6435 0.0000
Ce Eu Zn Si
1 1 1 1
Cartesian
0.0000 0.0000 0.0000
3.6435 3.6435 3.6435
1.8217 1.8217 1.8217
5.4652 5.4652 5.4652
```

---

7.
Material: Er2InHg2
Method: DFT, PBE
State: optimized geometry

The space group is P4/mbm, No. 127. The calculation puts the formation energy at -40.9 kJ/mol of atoms. The crystal system is tetragonal. The value obtained for the uncorrected energy is -2.917 eV/atom.

```
Er2InHg2
1.0
8.0402 0.0000 0.0000
0.0000 8.0402 0.0000
0.0000 0.0000 3.9139
Er In Hg
4 2 4
Cartesian
1.3715 2.6486 0.0000
2.6486 6.6687 0.0000
5.3916 1.3715 0.0000
6.6687 5.3916 0.0000
0.0000 0.0000 1.9569
4.0201 4.0201 1.9569
1.0443 5.0644 1.9569
2.9758 1.0443 1.9569
5.0644 6.9960 1.9569
6.9960 2.9758 1.9569
```

---

8.
Material: Sr2TbSi3Pt12
Method: DFT, PBE
State: optimized geometry

The space group is R-3m, No. 166. The crystal system is trigonal. The uncorrected formation energy comes out at -0.4541 eV per atom. The value obtained for the uncorrected energy is -5.829 eV/atom.

```
Sr2TbSi3Pt12
1.0
4.2089 2.4300 6.0499
-4.2089 2.4300 6.0499
0.0000 -4.8600 6.0499
Sr Tb Si Pt
2 1 3 12
Cartesian
0.0000 0.0000 1.7925
0.0000 0.0000 16.3571
0.0000 0.0000 9.0748
-2.1044 -1.2150 6.0499
-2.1044 1.2150 12.0997
0.0000 2.4300 6.0499
-2.2591 -1.3043 8.3814
0.0000 -2.1346 5.4653
-1.8486 1.0673 5.4653
0.0000 -2.6086 9.7682
-2.2591 1.3043 9.7682
-1.8486 -1.0673 12.6843
1.8486 1.0673 5.4653
2.2591 -1.3043 8.3814
0.0000 2.6086 8.3814
1.8486 -1.0673 12.6843
0.0000 2.1346 12.6843
2.2591 1.3043 9.7682
```

---

9.
Material: HfMnSn2
Method: DFT, PBE
State: optimized geometry

The space group is Fm-3m, No. 225. Its polymorph energy (0 for the lowest one) is 1.25 eV per formula unit. The calculation puts the formation energy at 27.1 kJ/mol of atoms. The crystal system is cubic. The value obtained for the uncorrected energy is -6.501 eV/atom.

```
HfMnSn2
1.0
0.0000 3.3659 3.3659
3.3659 0.0000 3.3659
3.3659 3.3659 0.0000
Hf Mn Sn
1 1 2
Cartesian
0.0000 0.0000 0.0000
3.3659 3.3659 3.3659
1.6830 1.6830 1.6830
5.0489 5.0489 5.0489
```

---

10.
Material: La2AlAgH
Method: DFT, PBE
State: optimized geometry

The space group is P4/mmm, No. 123. Its polymorph energy (0 for the lowest one) is 0.00 eV per formula unit. The crystal system is tetragonal. The value obtained for the uncorrected energy is -4.275 eV/atom.

```
La2AlAgH
1.0
5.0583 0.0000 0.0000
0.0000 5.0583 0.0000
0.0000 0.0000 4.3422
La Al Ag H
2 1 1 1
Cartesian
0.0000 2.5292 0.0000
2.5292 0.0000 0.0000
0.0000 0.0000 2.1711
2.5292 2.5292 2.1711
2.5292 2.5292 0.0000
```

---

11.
Material: CuTe2Br
Method: DFT, PBE
State: optimized geometry

The space group is Cm, No. 8. The crystal system is monoclinic. The uncorrected formation energy comes out at -0.1364 eV per atom. The value obtained for the uncorrected energy is -3.150 eV/atom.

```
CuTe2Br
1.0
6.3946 -2.0054 0.0000
6.3946 2.0054 0.0000
-1.5025 0.0000 4.5433
Cu Te Br
1 2 1
Cartesian
0.0000 0.0000 0.0000
4.1344 0.0000 3.0297
6.5796 0.0000 1.6420
1.1627 0.0000 4.3976
```

---

12.
Material: PrAsAu
Method: DFT, PBE
State: optimized geometry

The space group is P4_2/m, No. 84. The calculation puts the formation energy at -58.2 kJ/mol of atoms. The crystal system is tetragonal. The value obtained for the uncorrected energy is -4.839 eV/atom.

```
PrAsAu
1.0
8.1691 0.0000 0.0000
0.0000 8.1691 0.0000
0.0000 0.0000 4.3437
Pr As Au
4 4 4
Cartesian
0.6528 5.8749 0.0000
2.2942 0.6528 2.1718
5.8749 7.5163 2.1718
7.5163 2.2942 0.0000
1.2077 3.5576 2.1718
3.5576 6.9614 0.0000
4.6115 1.2077 0.0000
6.9614 4.6115 2.1718
2.7858 3.1201 0.0000
3.1201 5.3833 2.1718
5.0490 2.7858 2.1718
5.3833 5.0490 0.0000
```

---

13.
Material: Ca2BiPb
Method: DFT, PBE
State: optimized geometry

The space group is R-3m, No. 166. Its polymorph energy (0 for the lowest one) is 0.44 eV per formula unit. The calculation puts the formation energy at -49.5 kJ/mol of atoms. The crystal system is trigonal. The value obtained for the uncorrected energy is -3.411 eV/atom.

```
Ca2BiPb
1.0
1.9837 1.1453 9.5906
-1.9837 1.1453 9.5906
0.0000 -2.2906 9.5906
Ca Bi Pb
2 1 1
Cartesian
0.0000 0.0000 7.1530
0.0000 0.0000 21.6188
0.0000 0.0000 14.3859
0.0000 0.0000 0.0000
```

---

14.
Material: Ca2MnSe2
Method: DFT, PBE
State: optimized geometry

The space group is I4/mmm, No. 139. Its polymorph energy (0 for the lowest one) is 0.78 eV per formula unit. The crystal system is tetragonal. The uncorrected formation energy comes out at -0.6325 eV per atom. The value obtained for the uncorrected energy is -4.661 eV/atom.

```
Ca2MnSe2
1.0
-2.8473 2.8473 5.7267
2.8473 -2.8473 5.7267
2.8473 2.8473 -5.7267
Ca Mn Se
2 1 2
Cartesian
0.0000 0.0000 2.5688
0.0000 0.0000 8.8847
0.0000 0.0000 5.7267
2.8473 0.0000 2.8634
0.0000 2.8473 2.8634
```

---

15.
Material: LaAsAuSe2
Method: DFT, PBE
State: optimized geometry

The space group is P4/mmm, No. 123. Its polymorph energy (0 for the lowest one) is 0.00 eV per formula unit. The crystal system is tetragonal. The uncorrected formation energy comes out at -0.4214 eV per atom. The value obtained for the uncorrected energy is -4.386 eV/atom.

```
LaAsAuSe2
1.0
5.1454 0.0000 0.0000
0.0000 5.1454 0.0000
0.0000 0.0000 4.9528
La As Au Se
1 1 1 2
Cartesian
0.0000 0.0000 0.0000
2.5727 2.5727 0.0000
2.5727 2.5727 2.4764
0.0000 2.5727 2.4764
2.5727 0.0000 2.4764
```

---

16.
Material: CsCeTlF6
Method: DFT, PBE
State: optimized geometry

The space group is P1, No. 1. The crystal system is triclinic. The uncorrected formation energy comes out at -3.1516 eV per atom. The value obtained for the uncorrected energy is -5.416 eV/atom.

```
CsCeTlF6
1.0
5.4426 0.0000 0.0000
0.0062 6.9390 0.0000
0.0031 3.4694 6.0213
Cs Ce Tl F
1 1 1 6
Cartesian
0.0000 0.0000 0.0000
2.7219 6.9390 4.0139
2.7263 3.4695 2.0046
1.5543 6.0590 5.6370
1.5551 5.9780 2.4368
1.5620 8.7899 3.9671
3.8827 5.0882 3.9762
3.8901 7.8267 5.6326
3.8897 7.8923 2.4325
```

---

17.
Material: SrReAs2
Method: DFT, PBE
State: optimized geometry

The space group is Pmm2, No. 25. Its polymorph energy (0 for the lowest one) is 1.69 eV per formula unit. The calculation puts the formation energy at 14.8 kJ/mol of atoms. The crystal system is orthorhombic. The value obtained for the uncorrected energy is -5.704 eV/atom.

```
SrReAs2
1.0
3.2387 0.0000 0.0000
0.0000 3.9208 0.0000
0.0000 0.0000 7.3629
Sr Re As
1 1 2
Cartesian
0.0000 0.0000 0.0000
1.6194 1.9604 4.1895
0.0000 0.0000 4.2926
1.6194 1.9604 1.7759
```

---

18.
Material: LaIn2Sb
Method: DFT, PBE
State: optimized geometry

The space group is P4mm, No. 99. Its polymorph energy (0 for the lowest one) is 0.52 eV per formula unit. The crystal system is tetragonal. The uncorrected formation energy comes out at -0.4524 eV per atom. The value obtained for the uncorrected energy is -4.084 eV/atom.

```
LaIn2Sb
1.0
4.2058 0.0000 0.0000
0.0000 4.2058 0.0000
0.0000 0.0000 6.6557
La In Sb
1 2 1
Cartesian
0.0000 0.0000 0.0000
0.0000 0.0000 3.2725
2.1029 2.1029 4.6540
2.1029 2.1029 1.4170
```

---

19.
Material: YInAsSe2
Method: DFT, PBE
State: optimized geometry

The space group is P4/mmm, No. 123. Its polymorph energy (0 for the lowest one) is 0.86 eV per formula unit. The crystal system is tetragonal. The uncorrected formation energy comes out at -0.1163 eV per atom. The value obtained for the uncorrected energy is -4.280 eV/atom.

```
YInAsSe2
1.0
5.2170 0.0000 0.0000
0.0000 5.2170 0.0000
0.0000 0.0000 5.1186
Y In As Se
1 1 1 2
Cartesian
0.0000 0.0000 0.0000
2.6085 2.6085 2.5593
2.6085 2.6085 0.0000
0.0000 2.6085 2.5593
2.6085 0.0000 2.5593
```

---

20.
Material: TaH2Rh
Method: DFT, PBE
State: optimized geometry

The space group is Pmmn, No. 59. Its polymorph energy (0 for the lowest one) is 0.17 eV per formula unit. The crystal system is orthorhombic. The value obtained for the uncorrected energy is -6.510 eV/atom.

```
TaH2Rh
1.0
2.8890 0.0000 0.0000
0.0000 5.1968 0.0000
0.0000 0.0000 5.1542
Ta H Rh
2 4 2
Cartesian
0.7223 1.2992 0.6795
2.1668 3.8976 4.4747
0.7223 3.1386 0.4524
0.7223 4.6566 0.4524
2.1668 0.5402 4.7018
2.1668 2.0582 4.7018
0.7223 3.8976 2.2276
2.1668 1.2992 2.9266
```